Arrangement w

Tl6As: relaxed, PBE.

Lattice parameters (Å, degrees): 6.6133 6.6133 9.9691 90.00 90.00 94.88
Closest atoms and distances in Å follow each position.
Fractional coordinates of all 14 atoms:
Tl (0.6850, 0.3150, 0.0000)  2 As 3.09, 2 Tl 3.46
Tl (0.6850, 0.3150, 0.5000)  2 As 3.09, 2 Tl 3.46
Tl (0.3150, 0.6850, 0.5000)  2 As 3.09, 2 Tl 3.46
Tl (0.1671, 0.1671, 0.5822)  1 As 3.17, 4 Tl 3.35-3.51
Tl (0.0446, 0.4005, 0.2500)  2 As 3.27-3.57, 5 Tl 3.46-3.52
Tl (0.8329, 0.8329, 0.4178)  1 As 3.17, 4 Tl 3.35-3.51
Tl (0.1671, 0.1671, 0.9178)  1 As 3.17, 4 Tl 3.35-3.51
Tl (0.5995, 0.9554, 0.7500)  2 As 3.27-3.57, 5 Tl 3.46-3.52
Tl (0.3150, 0.6850, 0.0000)  2 As 3.09, 2 Tl 3.46
Tl (0.9554, 0.5995, 0.7500)  2 As 3.27-3.57, 5 Tl 3.46-3.52
Tl (0.4005, 0.0446, 0.2500)  2 As 3.27-3.57, 5 Tl 3.46-3.52
Tl (0.8329, 0.8329, 0.0822)  1 As 3.17, 4 Tl 3.35-3.51
As (0.5320, 0.5320, 0.2500)  8 Tl 3.09-3.27
As (0.4680, 0.4680, 0.7500)  8 Tl 3.09-3.27

Output
Magnetization = 0.0 μB/f.u.
SG = Cmcm
Volume = 31.03 Å³ per atom

Arrangement x

Tl6As: relaxed, PBE.

Lattice parameters (Å, degrees): 7.4550 7.4550 7.4550 109.47 109.47 109.47
Closest atoms and distances in Å follow each position.
Fractional coordinates of all 7 atoms:
Tl (0.5000, 0.2500, 0.7500)  4 Tl 3.04
Tl (0.5000, 0.7500, 0.2500)  4 Tl 3.04
Tl (0.2500, 0.7500, 0.5000)  4 Tl 3.04
Tl (0.2500, 0.5000, 0.7500)  4 Tl 3.04
Tl (0.7500, 0.5000, 0.2500)  4 Tl 3.04
Tl (0.7500, 0.2500, 0.5000)  4 Tl 3.04
As (0.0000, 0.0000, 0.0000)  24 Tl 4.81

Output
Magnetization = 2.5 μB/f.u.
SG = Im-3m
Volume = 45.56 Å³ per atom

Decreasing stability: arrangement w, arrangement x

Arrangement w

TmTlAs: relaxed, PBE.

Lattice parameters (Å, degrees): 5.3128 5.3128 6.7017 90.00 90.00 90.00
Closest atoms and distances in Å follow each position.
Fractional coordinates of all 6 atoms:
Tl (0.0000, 0.5000, 0.9389)  1 As 3.00
Tl (0.5000, 0.0000, 0.0611)  1 As 3.00
As (0.5000, 0.0000, 0.6135)  4 Tm 2.76, 1 Tl 3.00
As (0.0000, 0.5000, 0.3865)  4 Tm 2.76, 1 Tl 3.00
Tm (0.0000, 0.0000, 0.5000)  4 As 2.76
Tm (0.5000, 0.5000, 0.5000)  4 As 2.76

Output
Magnetization = 0.0 μB/f.u.
SG = P4/nmm
Volume = 31.53 Å³ per atom

Arrangement x

TmTlAs: relaxed, PBE.

Lattice parameters (Å, degrees): 3.9381 3.9381 6.4133 107.88 107.88 90.00
Closest atoms and distances in Å follow each position.
Fractional coordinates of all 3 atoms:
As (0.7446, 0.7446, 0.4892)  4 Tm 2.79, 1 Tl 2.87
Tl (0.9932, 0.9932, 0.9864)  1 As 2.87, 1 Tm 3.11
Tm (0.2622, 0.2622, 0.5244)  4 As 2.79, 1 Tl 3.11

Output
Magnetization = 0.0 μB/f.u.
SG = I4mm
Volume = 29.87 Å³ per atom

Decreasing stability: arrangement x, arrangement w